A plane-wave DFT calculation with PBE-GGA was carried out for a relaxed structure of Fe2AsRh.

The space group is I-4m2 (No. 119) and the conventional cell measures 3.7919, 3.7919 and 7.3331 Å, with angles of 90.00, 90.00 and 90.00 degrees. The inequivalent atoms are Fe at (0.0000, 0.0000, 0.0000), Fe at (0.0000, 0.5000, 0.2500), As at (0.0000, 0.0000, 0.5000) and Rh at (0.0000, 0.5000, 0.7500).

The calculation puts the density of states at the Fermi level at 6.1 states/eV/cell. The formation energy from the elements comes out at -0.04 eV per atom.

A plane-wave DFT calculation with PBE-GGA was carried out for a relaxed structure of FeAs2Rh.

The space group is I-4m2 (No. 119) and the conventional cell measures 3.6935, 3.6935 and 8.7759 Å, with angles of 90.00, 90.00 and 90.00 degrees. The inequivalent atoms are Fe at (0.0000, 0.0000, 0.0000), As at (0.0000, 0.0000, 0.5000), As at (0.0000, 0.5000, 0.2500) and Rh at (0.0000, 0.5000, 0.7500).

The calculation puts the density of states at the Fermi level at 7.3 states/eV/cell. The formation energy from the elements comes out at 0.08 eV per atom.

A plane-wave DFT calculation with PBE-GGA was carried out for a relaxed structure of FeAs2Rh.

The space group is Fm-3m (No. 225) and the conventional cell measures 6.1627, 6.1627 and 6.1627 Å, with angles of 90.00, 90.00 and 90.00 degrees. The inequivalent atoms are Fe at (0.0000, 0.0000, 0.0000), As at (0.2500, 0.2500, 0.2500) and Rh at (0.0000, 0.0000, 0.5000).

The calculation puts the density of states at the Fermi level at 9.6 states/eV/cell. The formation energy from the elements comes out at -0.04 eV per atom.

A plane-wave DFT calculation with PBE-GGA was carried out for a relaxed structure of FeAsRh.

The space group is P3m1 (No. 156) and the conventional cell measures 2.8579, 2.8579 and 6.0430 Å, with angles of 90.00, 90.00 and 120.00 degrees. The inequivalent atoms are Fe at (0.0000, 0.0000, 0.0000), As at (0.3333, 0.6667, 0.6745) and Rh at (0.6667, 0.3333, 0.3347).

The calculation puts the density of states at the Fermi level at 3.0 states/eV/cell. The formation energy from the elements comes out at 0.06 eV per atom.

A plane-wave DFT calculation with PBE-GGA was carried out for a relaxed structure of FeAsRh.

The space group is P3m1 (No. 156) and the conventional cell measures 4.0856, 4.0856 and 2.8897 Å, with angles of 90.00, 90.00 and 120.00 degrees. The inequivalent atoms are Fe at (0.0000, 0.0000, 0.0000), As at (0.3333, 0.6667, 0.7922) and Rh at (0.6667, 0.3333, 0.4920).

The calculation puts the density of states at the Fermi level at 2.4 states/eV/cell. The formation energy from the elements comes out at -0.09 eV per atom.

A plane-wave DFT calculation with PBE-GGA was carried out for a relaxed structure of Fe2AsRhSe.

The space group is P4/mmm (No. 123) and the conventional cell measures 4.8248, 4.8248 and 4.4922 Å, with angles of 90.00, 90.00 and 90.00 degrees. The inequivalent atoms are Fe at (0.0000, 0.5000, 0.0000), As at (0.0000, 0.0000, 0.5000), Rh at (0.0000, 0.0000, 0.0000) and Se at (0.5000, 0.5000, 0.5000).

The calculation puts the density of states at the Fermi level at 7.5 states/eV/cell. The calculation puts the raw formation energy at 761.6 meV/atom.

A plane-wave DFT calculation with PBE-GGA was carried out for a relaxed structure of Th2FeAs4Rh3.

The space group is P-4m2 (No. 115) and the conventional cell measures 4.3401, 4.3401 and 9.6955 Å, with angles of 90.00, 90.00 and 90.00 degrees. The inequivalent atoms are Th at (0.0000, 0.5000, 0.2461), Fe at (0.5000, 0.5000, 0.0000), As at (0.0000, 0.0000, 0.5000), As at (0.0000, 0.5000, 0.8736), As at (0.5000, 0.5000, 0.5000), Rh at (0.0000, 0.0000, 0.0000) and Rh at (0.0000, 0.5000, 0.6202).

The calculation puts the density of states at the Fermi level at 6.7 states/eV/cell. The formation energy from the elements comes out at -0.86 eV per atom.

A plane-wave DFT calculation with PBE-GGA was carried out for a relaxed structure of UFeAs2Rh2.

The space group is Pmc2_1 (No. 26) and the conventional cell measures 3.8728, 7.8744 and 6.5195 Å, with angles of 90.00, 90.00 and 90.00 degrees. The inequivalent atoms are U at (0.0000, 0.0182, 0.0000), Fe at (0.5000, 0.0926, 0.7451), As at (0.0000, 0.3286, 0.7101), As at (0.5000, 0.2077, 0.2622), Rh at (0.0000, 0.3709, 0.3274) and Rh at (0.5000, 0.3737, 0.9515).

The calculation puts the density of states at the Fermi level at 10.4 states/eV/cell. The formation energy from the elements comes out at -0.39 eV per atom.

A plane-wave DFT calculation with PBE-GGA was carried out for a relaxed structure of VFeAsRh2.

The space group is P4/mmm (No. 123) and the conventional cell measures 4.5099, 4.5099 and 4.3238 Å, with angles of 90.00, 90.00 and 90.00 degrees. The inequivalent atoms are V at (0.0000, 0.0000, 0.0000), Fe at (0.5000, 0.5000, 0.5000), As at (0.5000, 0.5000, 0.0000) and Rh at (0.0000, 0.5000, 0.5000).

The calculation puts the density of states at the Fermi level at 8.3 states/eV/cell. The formation energy from the elements comes out at 0.97 eV per atom.

A plane-wave DFT calculation with PBE-GGA was carried out for a relaxed structure of FeAsRu2.

The space group is I-42d (No. 122) and the conventional cell measures 5.3304, 5.3304 and 10.6536 Å, with angles of 90.00, 90.00 and 90.00 degrees. The inequivalent atoms are Fe at (0.0000, 0.0000, 0.0000), As at (0.0000, 0.0000, 0.5000) and Ru at (0.2237, 0.2500, 0.1250).

The calculation puts the density of states at the Fermi level at 17.4 states/eV/cell. The formation energy from the elements comes out at 0.68 eV per atom.

A plane-wave DFT calculation with PBE-GGA was carried out for a relaxed structure of FeAs3Ru.

The space group is Pm-3m (No. 221) and the conventional cell measures 4.4753, 4.4753 and 4.4753 Å, with angles of 90.00, 90.00 and 90.00 degrees. The inequivalent atoms are Fe at (0.0000, 0.0000, 0.0000), As at (0.0000, 0.0000, 0.5000) and Ru at (0.5000, 0.5000, 0.5000).

The calculation puts the density of states at the Fermi level at 3.8 states/eV/cell. As for the energy above the most stable polymorph in this dataset: 0.000 eV/atom. The formation energy from the elements comes out at 0.75 eV per atom.

A plane-wave DFT calculation with PBE-GGA was carried out for a relaxed structure of FeAsRu2.

The space group is F-43m (No. 216) and the conventional cell measures 6.0502, 6.0502 and 6.0502 Å, with angles of 90.00, 90.00 and 90.00 degrees. The inequivalent atoms are Fe at (0.0000, 0.0000, 0.0000), As at (0.2500, 0.2500, 0.7500), Ru at (0.0000, 0.0000, 0.5000) and Ru at (0.2500, 0.2500, 0.2500).

The calculation puts the density of states at the Fermi level at 19.2 states/eV/cell. The formation energy from the elements comes out at 0.27 eV per atom.